VASP calculation (PBE) on an optimized crystal structure of AcNbCoP2.

- ΔE_f (eV/atom) = -0.844
- uncorrected energy (eV per atom) = -7.265
- N(E_F) (states/eV/f.u.) = 4.6

Cell: 3.9220 3.9220 6.8773 Å, 106.57 106.57 90.00°
Last column: nearest neighbours and their distance in Å.
Atoms (fractional coordinates):
1 Ac 0.0000 0.0000 0.0000  8 P 3.26
2 Nb 0.7500 0.2500 0.5000  4 P 2.43
3 Co 0.2500 0.7500 0.5000  4 P 2.43
4 P 0.6357 0.6357 0.2715  2 Nb 2.43, 2 Co 2.43
5 P 0.3643 0.3643 0.7285  2 Nb 2.43, 2 Co 2.43